Zr2Ni2Hg after structural relaxation. Source: the Open Quantum Materials Database, functional PBE-GGA.

The crystal system is tetragonal. Its formation energy from the elements is -2.114 eV per formula unit. As for the mass density: 9.66 g/cm³. For the magnetization, the calculation gives 0.00 μB/cell.

The space group is P4/mbm (No. 127) and the conventional cell measures 7.219, 7.219 and 3.302 Å, with angles of 90.00, 90.00 and 90.00 degrees. Symmetry generates all atoms from Zr at (0.169, 0.331, 0.000), Ni at (0.123, 0.623, 0.500) and Hg at (0.000, 0.000, 0.500).